1.
## Sm12ErTm7 (PBE)

Data for Sm12ErTm7 after structural relaxation.

## Properties
total DFT energy (no corrections) = -4.3732 eV per atom
E above lowest polymorph = 0.000 eV per atom
formation energy from the elements = 24 kJ/mol of atoms

a = 11.4542 Å, b = 11.4542 Å, c = 11.4542 Å
α = 116.89°, β = 116.89°, γ = 116.89°
Sites, in units of the cell vectors:
1 Sm 0.0006 0.5865 0.4138
2 Sm 0.0864 0.0855 0.4385
3 Sm 0.0855 0.4385 0.0864
4 Sm 0.4138 0.0006 0.5865
5 Sm 0.4135 0.5862 0.9994
6 Sm 0.4385 0.0864 0.0855
7 Sm 0.5615 0.9136 0.9145
8 Sm 0.5865 0.4138 0.0006
9 Sm 0.5862 0.9994 0.4135
10 Sm 0.9145 0.5615 0.9136
11 Sm 0.9136 0.9145 0.5615
12 Sm 0.9994 0.4135 0.5862
13 Er 0.5000 0.5000 0.5000
14 Tm 0.0000 0.0000 0.0000
15 Tm 0.1318 0.3745 0.3754
16 Tm 0.3754 0.1318 0.3745
17 Tm 0.3745 0.3754 0.1318
18 Tm 0.6255 0.6246 0.8682
19 Tm 0.6246 0.8682 0.6255
20 Tm 0.8682 0.6255 0.6246

=====

2.
## Pr12Sn3O5 (PBE)

Data for Pr12Sn3O5 after structural relaxation.

## Properties
total DFT energy (no corrections) = -6.2787 eV per atom
formation energy from raw total energies = -1571 meV/atom

a = 14.1378 Å, b = 14.1378 Å, c = 14.1378 Å
α = 109.47°, β = 109.47°, γ = 109.47°
Sites, in units of the cell vectors:
1 Pr 0.0111 0.1975 0.1088
2 Pr 0.0111 0.3136 0.9023
3 Pr 0.0887 0.6975 0.6864
4 Pr 0.0887 0.8912 0.4023
5 Pr 0.0977 0.6088 0.4113
6 Pr 0.0977 0.9889 0.6864
7 Pr 0.1088 0.0111 0.1975
8 Pr 0.1088 0.5977 0.9113
9 Pr 0.1864 0.1975 0.5887
10 Pr 0.1864 0.4889 0.5977
11 Pr 0.1975 0.1088 0.0111
12 Pr 0.1975 0.5887 0.1864
13 Pr 0.3025 0.3136 0.9113
14 Pr 0.3025 0.4889 0.3912
15 Pr 0.3136 0.9023 0.0111
16 Pr 0.3136 0.9113 0.3025
17 Pr 0.3912 0.3025 0.4889
18 Pr 0.3912 0.5887 0.9023
19 Pr 0.4023 0.0887 0.8912
20 Pr 0.4023 0.8136 0.5111
21 Pr 0.4113 0.0977 0.6088
22 Pr 0.4113 0.8136 0.8025
23 Pr 0.4889 0.3912 0.3025
24 Pr 0.4889 0.5977 0.1864
25 Pr 0.5111 0.4023 0.8136
26 Pr 0.5111 0.6088 0.6975
27 Pr 0.5887 0.1864 0.1975
28 Pr 0.5887 0.9023 0.3912
29 Pr 0.5977 0.1864 0.4889
30 Pr 0.5977 0.9113 0.1088
31 Pr 0.6088 0.4113 0.0977
32 Pr 0.6088 0.6975 0.5111
33 Pr 0.6864 0.0887 0.6975
34 Pr 0.6864 0.0977 0.9889
35 Pr 0.6975 0.5111 0.6088
36 Pr 0.6975 0.6864 0.0887
37 Pr 0.8025 0.4113 0.8136
38 Pr 0.8025 0.8912 0.9889
39 Pr 0.8136 0.5111 0.4023
40 Pr 0.8136 0.8025 0.4113
41 Pr 0.8912 0.4023 0.0887
42 Pr 0.8912 0.9889 0.8025
43 Pr 0.9023 0.0111 0.3136
44 Pr 0.9023 0.3912 0.5887
45 Pr 0.9113 0.1088 0.5977
46 Pr 0.9113 0.3025 0.3136
47 Pr 0.9889 0.6864 0.0977
48 Pr 0.9889 0.8025 0.8912
49 Sn 0.1250 0.2500 0.3750
50 Sn 0.1250 0.3750 0.7500
51 Sn 0.2500 0.3750 0.1250
52 Sn 0.2500 0.8750 0.6250
53 Sn 0.3750 0.1250 0.2500
54 Sn 0.3750 0.7500 0.1250
55 Sn 0.6250 0.2500 0.8750
56 Sn 0.6250 0.8750 0.7500
57 Sn 0.7500 0.1250 0.3750
58 Sn 0.7500 0.6250 0.8750
59 Sn 0.8750 0.6250 0.2500
60 Sn 0.8750 0.7500 0.6250
61 O 0.0000 0.0000 0.0000
62 O 0.0000 0.0000 0.5000
63 O 0.0000 0.5000 0.0000
64 O 0.0000 0.5000 0.5000
65 O 0.1250 0.7500 0.8750
66 O 0.1250 0.8750 0.2500
67 O 0.2500 0.1250 0.8750
68 O 0.2500 0.6250 0.3750
69 O 0.3750 0.2500 0.6250
70 O 0.3750 0.6250 0.7500
71 O 0.5000 0.0000 0.0000
72 O 0.5000 0.0000 0.5000
73 O 0.5000 0.5000 0.0000
74 O 0.5000 0.5000 0.5000
75 O 0.6250 0.3750 0.2500
76 O 0.6250 0.7500 0.3750
77 O 0.7500 0.3750 0.6250
78 O 0.7500 0.8750 0.1250
79 O 0.8750 0.1250 0.7500
80 O 0.8750 0.2500 0.1250